Entry 1:
This record from Alexandria via LeMat-Bulk describes a relaxed structure of KMnV2S8. The functional is PBE.

Output
M_tot in μB per atom: 0.182
Calculated density in g/cm3: 2.62
Electronic total energy in eV per atom: -5.6411
Energy relative to the elements, uncorrected in kJ/mol of formula units: -595

Cell lengths 6.037, 6.037, 9.743 Å; angles 71.95, 71.95, 60.00 degrees
Sites, in units of the cell vectors:
S (0.946, 0.637, 0.152)
S (0.817, 0.817, 0.549)
S (0.363, 0.735, 0.848)
S (0.735, 0.054, 0.848)
S (0.183, 0.183, 0.451)
S (0.054, 0.363, 0.848)
S (0.637, 0.265, 0.152)
S (0.265, 0.946, 0.152)
K (0.500, 0.500, 0.500)
V (0.740, 0.740, 0.781)
V (0.260, 0.260, 0.219)
Mn (0.000, 0.000, 0.000)

---

Entry 2:
This record from Alexandria via LeMat-Bulk describes a relaxed structure of Ca4Cu3Sb8. The functional is PBE.

Output
M_tot in μB per atom: 0.000
Calculated density in g/cm3: 5.76
Electronic total energy in eV per atom: -4.0199
Energy relative to the elements, uncorrected in kJ/mol of formula units: -678

Cell lengths 4.399, 4.399, 19.752 Å; angles 90.00, 90.00, 90.00 degrees
Sites, in units of the cell vectors:
Cu (0.000, 0.000, 0.500)
Cu (0.500, 0.500, 0.500)
Cu (0.000, 0.000, 0.000)
Ca (0.500, 0.000, 0.883)
Ca (0.500, 0.000, 0.377)
Ca (0.000, 0.500, 0.117)
Ca (0.000, 0.500, 0.623)
Sb (0.000, 0.000, 0.245)
Sb (0.500, 0.000, 0.575)
Sb (0.000, 0.500, 0.425)
Sb (0.500, 0.500, 0.249)
Sb (0.500, 0.500, 0.751)
Sb (0.000, 0.000, 0.755)
Sb (0.500, 0.000, 0.066)
Sb (0.000, 0.500, 0.934)

---

Entry 3:
This record from Alexandria via LeMat-Bulk describes a relaxed structure of TbNdBr6. The functional is PBE.

Output
M_tot in μB per atom: 0.000
Calculated density in g/cm3: 4.47
Electronic total energy in eV per atom: -4.2574
Energy relative to the elements, uncorrected in kJ/mol of formula units: -1411
Polymorph energy (0 for the lowest one) in eV/atom: 0.014

Cell lengths 7.164, 7.163, 7.745 Å; angles 62.46, 62.46, 60.00 degrees
Sites, in units of the cell vectors:
Tb (0.500, 0.500, 0.500)
Nd (0.000, 0.000, 0.000)
Br (0.413, 0.745, 0.746)
Br (0.904, 0.587, 0.254)
Br (0.255, 0.904, 0.254)
Br (0.096, 0.413, 0.746)
Br (0.745, 0.096, 0.746)
Br (0.587, 0.255, 0.254)